Record 1
Compound: Nd2ThCu
Source: Alexandria via LeMat-Bulk
Functional: PBE
Structure: optimized geometry

abc: 11.4790 11.4790 11.4790
angles: 17.40 17.40 17.40
Fractional positions:
Nd: 0.1022 0.1022 0.1022
Nd: 0.8978 0.8978 0.8978
Th: 0.0000 0.0000 0.0000
Cu: 0.5000 0.5000 0.5000

## Properties
Crystal system: trigonal
Distance to the lowest polymorph of the same formula: 304.4 meV/atom
Formation enthalpy at 0 K: 0.26 eV/atom

Record 2
Compound: BeReCl2
Source: Alexandria via LeMat-Bulk
Functional: PBE
Structure: optimized geometry

abc: 9.4345 9.4345 9.4345
angles: 18.03 18.03 18.03
Fractional positions:
Be: 0.0000 0.0000 0.0000
Re: 0.5000 0.5000 0.5000
Cl: 0.2331 0.2331 0.2331
Cl: 0.7669 0.7669 0.7669

## Properties
ΔE_f (raw): 3.30 eV/f.u.
Crystal system: trigonal
Distance to the lowest polymorph of the same formula: 925.2 meV/atom

Record 3
Compound: La3SiN5
Source: Alexandria via LeMat-Bulk
Functional: PBE
Structure: optimized geometry

abc: 7.4449 7.4449 7.4449
angles: 124.84 124.84 81.81
Fractional positions:
La: 0.1807 0.6807 0.8615
La: 0.2500 0.2500 0.0000
La: 0.3193 0.1807 0.5000
La: 0.6807 0.8193 0.5000
La: 0.7500 0.7500 0.0000
La: 0.8193 0.3193 0.1385
Si: 0.2500 0.7500 0.5000
Si: 0.7500 0.2500 0.5000
N: 0.0000 0.0000 0.0000
N: 0.0135 0.7900 0.5000
N: 0.2100 0.7100 0.2235
N: 0.2900 0.5135 0.5000
N: 0.4865 0.9865 0.7765
N: 0.5000 0.5000 0.0000
N: 0.5135 0.0135 0.2235
N: 0.7100 0.4865 0.5000
N: 0.7900 0.2900 0.7765
N: 0.9865 0.2100 0.5000

## Properties
ΔE_f (raw): -9.64 eV/f.u.
Crystal system: tetragonal

Record 4
Compound: ReHg2P
Source: Alexandria via LeMat-Bulk
Functional: PBE
Structure: optimized geometry

abc: 5.9446 5.9446 3.2085
angles: 103.84 103.84 127.78
Fractional positions:
Re: 0.0000 0.0000 0.0000
Hg: 0.0000 0.5000 0.0000
Hg: 0.5000 0.0000 0.0000
P: 0.5000 0.5000 0.0000

## Properties
Crystal system: monoclinic
Formation enthalpy at 0 K: 0.91 eV/atom

Record 5
Compound: Ga2Fe5B2
Source: Alexandria via LeMat-Bulk
Functional: PBE
Structure: optimized geometry

abc: 6.9761 6.9761 5.4511
angles: 90.00 90.00 46.22
Fractional positions:
Ga: 0.2280 0.2280 0.0000
Ga: 0.2720 0.2720 0.5000
Ga: 0.7280 0.7280 0.5000
Ga: 0.7720 0.7720 0.0000
Fe: 0.0000 0.0000 0.0000
Fe: 0.0663 0.7193 0.6779
Fe: 0.2193 0.5663 0.1779
Fe: 0.2807 0.9337 0.6779
Fe: 0.4337 0.7807 0.1779
Fe: 0.5000 0.5000 0.5000
Fe: 0.5663 0.2193 0.8221
Fe: 0.7193 0.0663 0.3221
Fe: 0.7807 0.4337 0.8221
Fe: 0.9337 0.2807 0.3221
B: 0.1167 0.8833 0.3845
B: 0.3833 0.6167 0.8845
B: 0.6167 0.3833 0.1155
B: 0.8833 0.1167 0.6155

## Properties
Crystal system: orthorhombic
Formation enthalpy at 0 K: -0.23 eV/atom

Record 6
Compound: Pm3Pr6Sc
Source: Alexandria via LeMat-Bulk
Functional: PBE
Structure: optimized geometry

abc: 11.1635 11.1635 6.4819
angles: 90.00 90.00 120.57
Fractional positions:
Pm: 0.1178 0.8822 0.5000
Pm: 0.2139 0.4466 0.8771
Pm: 0.4466 0.2139 0.3771
Pm: 0.5534 0.7861 0.8771
Pm: 0.7861 0.5534 0.3771
Pm: 0.8822 0.1178 0.0000
Pr: 0.0284 0.4457 0.2900
Pr: 0.1267 0.2086 0.4787
Pr: 0.2086 0.1267 0.9787
Pr: 0.2222 0.7778 0.0705
Pr: 0.4457 0.0284 0.7900
Pr: 0.4602 0.5398 0.3027
Pr: 0.5398 0.4602 0.8027
Pr: 0.5543 0.9716 0.2900
Pr: 0.7778 0.2222 0.5705
Pr: 0.7914 0.8733 0.4787
Pr: 0.8733 0.7914 0.9787
Pr: 0.9716 0.5543 0.7900
Sc: 0.3030 0.6970 0.5404
Sc: 0.6970 0.3030 0.0404

## Properties
Crystal system: orthorhombic
Formation enthalpy at 0 K: 0.14 eV/atom

Record 7
Compound: NbCr2P
Source: Alexandria via LeMat-Bulk
Functional: PBE
Structure: optimized geometry

abc: 4.9012 4.9012 7.0689
angles: 90.00 90.00 141.67
Fractional positions:
Nb: 0.0543 0.9457 0.7500
Nb: 0.9457 0.0543 0.2500
Cr: 0.3573 0.6427 0.5484
Cr: 0.3573 0.6427 0.9516
Cr: 0.6427 0.3573 0.0484
Cr: 0.6427 0.3573 0.4516
P: 0.2286 0.7714 0.2500
P: 0.7714 0.2286 0.7500

## Properties
Crystal system: orthorhombic
Formation enthalpy at 0 K: -0.48 eV/atom

Record 8
Compound: Rb2BaHfF6
Source: Alexandria via LeMat-Bulk
Functional: PBE
Structure: optimized geometry

abc: 6.9845 6.9845 6.9845
angles: 119.96 119.96 90.07
Fractional positions:
Rb: 0.2500 0.7500 0.5000
Rb: 0.7500 0.2500 0.5000
Ba: 0.0000 0.0000 0.0000
Hf: 0.5000 0.5000 0.0000
F: 0.2934 0.2934 0.0000
F: 0.2937 0.2937 0.5875
F: 0.2937 0.7063 0.0000
F: 0.7063 0.2937 0.0000
F: 0.7063 0.7063 0.4125
F: 0.7066 0.7066 0.0000

## Properties
ΔE_f (raw): -29.37 eV/f.u.
Crystal system: tetragonal

Record 9
Compound: Cu3GeTe
Source: Alexandria via LeMat-Bulk
Functional: PBE
Structure: optimized geometry

abc: 4.6013 4.6013 4.6013
angles: 90.00 90.00 90.00
Fractional positions:
Cu: 0.0000 0.0000 0.5000
Cu: 0.0000 0.5000 0.0000
Cu: 0.5000 0.0000 0.0000
Ge: 0.0000 0.0000 0.0000
Te: 0.5000 0.5000 0.5000

## Properties
ΔE_f (raw): 2.75 eV/f.u.
Crystal system: cubic
Distance to the lowest polymorph of the same formula: 0.0 meV/atom

Record 10
Compound: Li2ReTc2
Source: Alexandria via LeMat-Bulk
Functional: PBE
Structure: optimized geometry

abc: 5.5515 5.5515 5.5515
angles: 142.17 142.17 54.58
Fractional positions:
Li: 0.0849 0.0849 0.0000
Li: 0.9151 0.9151 0.0000
Re: 0.5000 0.5000 0.0000
Tc: 0.2500 0.7500 0.5000
Tc: 0.7500 0.2500 0.5000

## Properties
Crystal system: tetragonal
Distance to the lowest polymorph of the same formula: 252.8 meV/atom
Formation enthalpy at 0 K: 0.77 eV/atom

Record 11
Compound: Hf3TiCo2
Source: Alexandria via LeMat-Bulk
Functional: PBE
Structure: optimized geometry

abc: 7.3870 7.3870 7.3870
angles: 131.36 72.67 129.58
Fractional positions:
Hf: 0.0169 0.7500 0.2669
Hf: 0.2500 0.2500 0.0000
Hf: 0.4831 0.7500 0.7331
Hf: 0.5169 0.2500 0.2669
Hf: 0.7500 0.7500 0.0000
Hf: 0.9831 0.2500 0.7331
Ti: 0.0000 0.5000 0.5000
Ti: 0.5000 0.0000 0.5000
Co: 0.1359 0.2180 0.3538
Co: 0.3641 0.7180 0.0821
Co: 0.6359 0.2820 0.9179
Co: 0.8641 0.7820 0.6462

## Properties
Crystal system: orthorhombic
Distance to the lowest polymorph of the same formula: 174.0 meV/atom
Formation enthalpy at 0 K: -0.07 eV/atom

Record 12
Compound: La2Al2P
Source: Alexandria via LeMat-Bulk
Functional: PBE
Structure: optimized geometry

abc: 4.1881 4.1881 9.3597
angles: 90.00 90.00 120.00
Fractional positions:
La: 0.3333 0.6667 0.1826
La: 0.6667 0.3333 0.8174
Al: 0.3333 0.6667 0.5657
Al: 0.6667 0.3333 0.4343
P: 0.0000 0.0000 0.0000

## Properties
Crystal system: trigonal
Distance to the lowest polymorph of the same formula: 0.0 meV/atom
Formation enthalpy at 0 K: -0.64 eV/atom

Record 13
Compound: YHoOs
Source: Alexandria via LeMat-Bulk
Functional: PBE
Structure: optimized geometry

abc: 6.7723 3.3596 7.0419
angles: 90.00 104.05 90.00
Fractional positions:
Y: 0.0618 0.0000 0.2442
Y: 0.9382 0.0000 0.7558
Ho: 0.4389 0.0000 0.7587
Ho: 0.5611 0.0000 0.2413
Os: 0.2526 0.5000 0.0001
Os: 0.7474 0.5000 0.9999

## Properties
Crystal system: monoclinic
Distance to the lowest polymorph of the same formula: 42.8 meV/atom
Formation enthalpy at 0 K: -0.19 eV/atom

Record 14
Compound: Sr2SmAgHg6
Source: Alexandria via LeMat-Bulk
Functional: PBE
Structure: optimized geometry

abc: 7.9416 7.9416 7.9416
angles: 60.00 60.00 60.00
Fractional positions:
Sr: 0.2500 0.2500 0.2500
Sr: 0.7500 0.7500 0.7500
Sm: 0.0000 0.0000 0.0000
Ag: 0.5000 0.5000 0.5000
Hg: 0.2587 0.2587 0.7413
Hg: 0.2587 0.7413 0.2587
Hg: 0.2587 0.7413 0.7413
Hg: 0.7413 0.2587 0.2587
Hg: 0.7413 0.2587 0.7413
Hg: 0.7413 0.7413 0.2587

## Properties
Crystal system: cubic
Formation enthalpy at 0 K: -0.11 eV/atom

Record 15
Compound: PrSmTeI
Source: Alexandria via LeMat-Bulk
Functional: PBE
Structure: optimized geometry

abc: 5.4776 5.4776 5.4776
angles: 60.00 60.00 60.00
Fractional positions:
Pr: 0.0000 0.0000 0.0000
Sm: 0.5000 0.5000 0.5000
Te: 0.2500 0.2500 0.2500
I: 0.7500 0.7500 0.7500

## Properties
ΔE_f (raw): -4.42 eV/f.u.
Crystal system: cubic

Record 16
Compound: Gd2TmPu
Source: Alexandria via LeMat-Bulk
Functional: PBE
Structure: optimized geometry

abc: 5.5565 5.5565 5.5565
angles: 60.00 60.00 60.00
Fractional positions:
Gd: 0.2500 0.2500 0.2500
Gd: 0.7500 0.7500 0.7500
Tm: 0.0000 0.0000 0.0000
Pu: 0.5000 0.5000 0.5000

## Properties
Crystal system: cubic
Distance to the lowest polymorph of the same formula: 74.3 meV/atom
Formation enthalpy at 0 K: 0.19 eV/atom

Record 17
Compound: ZrAlBr2
Source: Alexandria via LeMat-Bulk
Functional: PBE
Structure: optimized geometry

abc: 5.5763 5.5763 7.4890
angles: 103.29 103.29 35.18
Fractional positions:
Zr: 0.0000 0.0000 0.0000
Al: 0.2687 0.2687 0.9545
Br: 0.4382 0.4382 0.7014
Br: 0.6337 0.6337 0.2670

## Properties
ΔE_f (raw): -2.13 eV/f.u.
Crystal system: monoclinic
Distance to the lowest polymorph of the same formula: 184.1 meV/atom

Record 18
Compound: La4NCl6
Source: Alexandria via LeMat-Bulk
Functional: PBE
Structure: optimized geometry

abc: 9.4151 9.4151 7.5543
angles: 90.00 90.00 120.00
Fractional positions:
La: 0.1965 0.3930 0.0000
La: 0.1965 0.8035 0.0000
La: 0.3333 0.6667 0.6350
La: 0.3930 0.1965 0.5000
La: 0.6070 0.8035 0.0000
La: 0.6667 0.3333 0.1350
La: 0.8035 0.1965 0.5000
La: 0.8035 0.6070 0.5000
N: 0.3333 0.6667 0.9591
N: 0.6667 0.3333 0.4591
Cl: 0.0392 0.5196 0.2910
Cl: 0.1424 0.2848 0.6105
Cl: 0.1424 0.8576 0.6105
Cl: 0.2848 0.1424 0.1105
Cl: 0.4804 0.5196 0.2910
Cl: 0.4804 0.9608 0.2910
Cl: 0.5196 0.0392 0.7910
Cl: 0.5196 0.4804 0.7910
Cl: 0.7152 0.8576 0.6105
Cl: 0.8576 0.1424 0.1105
Cl: 0.8576 0.7152 0.1105
Cl: 0.9608 0.4804 0.7910

## Properties
ΔE_f (raw): -21.51 eV/f.u.
Crystal system: hexagonal

Record 19
Compound: Ac6HgRh
Source: Alexandria via LeMat-Bulk
Functional: PBE
Structure: optimized geometry

abc: 7.2609 7.2609 7.3685
angles: 99.65 99.65 114.18
Fractional positions:
Ac: 0.0247 0.3805 0.2431
Ac: 0.2502 0.2502 0.7815
Ac: 0.3805 0.0247 0.2431
Ac: 0.6195 0.9753 0.7569
Ac: 0.7498 0.7498 0.2185
Ac: 0.9753 0.6195 0.7569
Hg: 0.5000 0.5000 0.5000
Rh: 0.0000 0.0000 0.0000

## Properties
Crystal system: monoclinic
Formation enthalpy at 0 K: -0.19 eV/atom

Record 20
Compound: BaFeTe2
Source: Alexandria via LeMat-Bulk
Functional: PBE
Structure: optimized geometry

abc: 3.8058 3.8058 7.9747
angles: 90.00 90.00 90.00
Fractional positions:
Ba: 0.0000 0.0000 0.0000
Fe: 0.0000 0.0000 0.5000
Te: 0.5000 0.5000 0.2925
Te: 0.5000 0.5000 0.7075

## Properties
ΔE_f (raw): -0.90 eV/f.u.
Crystal system: tetragonal

no.,ρ (g cm⁻³),electronic total energy (eV per atom),DOS at the Fermi energy (states/eV/f.u.)
1,8.220,-5.0006,4.16
2,6.290,-4.1420,2.93
3,6.393,-7.9415,5.68
4,13.653,-3.7073,2.36
5,7.634,-7.0845,6.17
6,6.329,-4.7909,13.07
7,7.187,-9.1652,3.03
8,4.138,-5.4406,3.73
9,6.663,-3.4593,4.02
10,10.289,-6.6348,4.22
11,10.220,-8.7265,6.64
12,4.237,-5.1918,4.09
13,9.488,-7.6120,1.05
14,7.675,-1.3887,7.37
15,7.798,-4.6538,2.84
16,9.958,-11.5543,11.61
17,3.546,-4.4424,1.65
18,4.480,-5.5114,4.59
19,8.204,-4.2241,13.24
20,6.446,-4.3932,2.48